Entry 1:
This record from Alexandria describes an optimized crystal structure of MnAlBr2. The functional is GGA-PBEsol.

Cell and atoms, written as POSCAR:
```
MnAlBr2
1.0
3.503 0.000 0.000
0.000 3.428 0.000
-1.750 0.000 7.217
Mn Al Br
1 1 2
direct
0.000 0.000 0.000
0.541 0.500 0.083
0.169 0.000 0.333
0.875 0.500 0.749
```

Values from the calculation:
The final energy comes out at -18.4 eV/cell. The total moment comes out at 0.6225 μB/atom. The calculation puts the uncorrected formation energy at -0.194 eV per atom.


Entry 2:
This record from Alexandria describes an optimized crystal structure of TlMo3F. The functional is GGA-PBEsol.

Cell and atoms, written as POSCAR:
```
TlMo3F
1.0
5.296 0.000 0.000
0.000 5.296 0.000
0.000 0.000 5.296
Tl Mo F
1 3 1
direct
0.000 0.000 0.000
0.000 0.000 0.500
0.000 0.500 0.000
0.500 0.000 0.000
0.500 0.500 0.500
```

Values from the calculation:
The final energy comes out at -26.2 eV/cell. The total moment comes out at 2.4151 μB/atom. The calculation puts the uncorrected formation energy at 2.738 eV per atom.


Entry 3:
This record from Alexandria describes an optimized crystal structure of Ca2MgAgTe. The functional is GGA-PBEsol.

Cell and atoms, written as POSCAR:
```
Ca2MgAgTe
1.0
5.643 0.000 0.000
0.000 5.643 0.000
0.000 0.000 5.347
Ca Mg Ag Te
2 1 1 1
direct
0.000 0.500 0.000
0.500 0.000 0.000
0.000 0.000 0.500
0.500 0.500 0.000
0.500 0.500 0.500
```

Values from the calculation:
The final energy comes out at -13.1 eV/cell. The total moment comes out at 0.0000 μB/atom. The calculation puts the uncorrected formation energy at -0.050 eV per atom.


Entry 4:
This record from Alexandria describes an optimized crystal structure of YAg5. The functional is GGA-PBEsol.

Cell and atoms, written as POSCAR:
```
YAg5
1.0
2.164 -6.165 0.000
2.164 6.165 0.000
0.000 0.000 4.158
Y Ag
1 5
direct
0.000 0.000 0.000
0.174 0.826 0.500
0.330 0.670 0.000
0.500 0.500 0.500
0.670 0.330 0.000
0.826 0.174 0.500
```

Values from the calculation:
As for the calculated formation energy: -0.112 eV per atom. The final energy comes out at -24.0 eV/cell. The total moment comes out at 0.0000 μB/atom.